(1)
Compound: ScCrAu4
Source: Alexandria
Functional: GGA-PBE
Structure: optimized geometry

Summary:
Crystal system: cubic
D(E_F), states/eV/atom: 0.926
Energy relative to the elements, eV per atom: -0.092
SG: F-43m, No. 216

Geometry as POSCAR:
```
ScCrAu4
1.0
0.0000 3.8726 3.8726
3.8726 0.0000 3.8726
3.8726 3.8726 0.0000
Sc Cr Au
1 1 4
direct
0.0000 0.0000 0.0000
0.2500 0.2500 0.2500
0.1254 0.6249 0.6249
0.6249 0.1254 0.6249
0.6249 0.6249 0.1254
0.6249 0.6249 0.6249
```


(2)
Compound: HfTlPd2
Source: Alexandria
Functional: GGA-PBE
Structure: optimized geometry

Summary:
Crystal system: tetragonal
D(E_F), states/eV/atom: 0.697
Energy relative to the elements, eV per atom: -0.114
SG: I-42d, No. 122

Geometry as POSCAR:
```
HfTlPd2
1.0
-3.7465 3.7465 2.9341
3.7465 -3.7465 2.9341
3.7465 3.7465 -2.9341
Hf Tl Pd
2 2 4
direct
0.0000 0.0000 0.0000
0.7500 0.2500 0.5000
0.2500 0.7500 0.5000
0.5000 0.5000 0.0000
0.1022 0.6250 0.9772
0.3750 0.3522 0.4772
0.6478 0.1250 0.0228
0.8750 0.8978 0.5228
```


(3)
Compound: CrIr2
Source: Alexandria
Functional: GGA-PBE
Structure: optimized geometry

Summary:
Crystal system: tetragonal
D(E_F), states/eV/atom: 1.204
Energy relative to the elements, eV per atom: 0.480
SG: P4/mmm, No. 123

Geometry as POSCAR:
```
CrIr2
1.0
4.0886 0.0000 0.0000
0.0000 4.0886 0.0000
0.0000 0.0000 2.8121
Cr Ir
1 2
direct
0.0000 0.0000 0.0000
0.0000 0.5000 0.5000
0.5000 0.0000 0.5000
```


(4)
Compound: BaGeF2
Source: Alexandria
Functional: GGA-PBE
Structure: optimized geometry

Summary:
Crystal system: tetragonal
D(E_F), states/eV/atom: 0.608
Uncorrected formation energy, meV per atom: -1869
SG: I-42d, No. 122

Geometry as POSCAR:
```
BaGeF2
1.0
-3.0170 3.0170 6.5462
3.0170 -3.0170 6.5462
3.0170 3.0170 -6.5462
Ba Ge F
2 2 4
direct
0.0000 0.0000 0.0000
0.7500 0.2500 0.5000
0.2500 0.7500 0.5000
0.5000 0.5000 0.0000
0.0623 0.6250 0.9373
0.3750 0.3123 0.4373
0.6877 0.1250 0.0627
0.8750 0.9377 0.5627
```


(5)
Compound: PrHfTh2
Source: Alexandria
Functional: GGA-PBE
Structure: optimized geometry

Summary:
Crystal system: tetragonal
D(E_F), states/eV/atom: 1.430
Energy relative to the elements, eV per atom: 0.132
SG: P4/mmm, No. 123

Geometry as POSCAR:
```
PrHfTh2
1.0
3.4855 0.0000 0.0000
0.0000 3.4855 0.0000
0.0000 0.0000 10.0314
Pr Hf Th
1 1 2
direct
0.0000 0.0000 0.0000
0.0000 0.0000 0.5000
0.5000 0.5000 0.2715
0.5000 0.5000 0.7285
```


(6)
Compound: ScB4Sb2
Source: Alexandria
Functional: GGA-PBE
Structure: optimized geometry

Summary:
Crystal system: tetragonal
D(E_F), states/eV/atom: 0.393
Uncorrected formation energy, meV per atom: 1517
SG: I4/mmm, No. 139

Geometry as POSCAR:
```
ScB4Sb2
1.0
-2.2296 2.2296 6.2802
2.2296 -2.2296 6.2802
2.2296 2.2296 -6.2802
Sc B Sb
1 4 2
direct
0.0000 0.0000 0.0000
0.0000 0.5000 0.5000
0.1926 0.1926 0.0000
0.5000 0.0000 0.5000
0.8074 0.8074 0.0000
0.3742 0.3742 0.0000
0.6258 0.6258 0.0000
```